# Al3TcRh, PBEsol geometry, DFT SCAN
data_Al3TcRh
_chemical_formula_sum 'Al3 Tc1 Rh1'
_space_group_name_H-M_alt 'P m -3 m'
_space_group_IT_number 221
_space_group_name_Hall '-P 4 2 3'
_cell_length_a 4.493
_cell_length_b 4.493
_cell_length_c 4.493
_cell_angle_alpha 90.00
_cell_angle_beta 90.00
_cell_angle_gamma 90.00
loop_
_atom_site_label
_atom_site_type_symbol
_atom_site_fract_x
_atom_site_fract_y
_atom_site_fract_z
_atom_site_occupancy
Al1 Al 0.000 0.000 0.500 1
Tc1 Tc 0.500 0.500 0.500 1
Rh1 Rh 0.000 0.000 0.000 1
# E = -18.1231 eV/atom
# Crystal system = cubic
# Formation energy from the elements = 294 meV per atom
# Calculated density = 5.2 Mg/m³



# AlTc2Rh, PBEsol geometry, DFT SCAN
data_AlTc2Rh
_chemical_formula_sum 'Al2 Tc4 Rh2'
_space_group_name_H-M_alt 'I m m 2'
_space_group_IT_number 44
_cell_length_a 2.953
_cell_length_b 4.378
_cell_length_c 8.462
_cell_angle_alpha 90.00
_cell_angle_beta 90.00
_cell_angle_gamma 90.00
loop_
_space_group_symop_operation_xyz
'x,y,z'
'-x,-y,z'
'-x,y,z'
'x,-y,z'
'x+1/2,y+1/2,z+1/2'
'-x+1/2,-y+1/2,z+1/2'
'-x+1/2,y+1/2,z+1/2'
'x+1/2,-y+1/2,z+1/2'
loop_
_atom_site_label
_atom_site_type_symbol
_atom_site_fract_x
_atom_site_fract_y
_atom_site_fract_z
_atom_site_occupancy
Al1 Al 0.000 0.000 0.000 1
Tc1 Tc 0.000 0.000 0.497 1
Tc2 Tc 0.000 0.500 0.746 1
Rh1 Rh 0.000 0.500 0.265 1
# E = -28.2206 eV/atom
# Crystal system = orthorhombic
# Formation energy from the elements = -310 meV per atom
# Calculated density = 9.9 Mg/m³



# AlTc2Rh, PBEsol geometry, DFT SCAN
data_AlTc2Rh
_chemical_formula_sum 'Al2 Tc4 Rh2'
_space_group_name_H-M_alt 'I 4/m m m'
_space_group_IT_number 139
_space_group_name_Hall '-I 4 2'
_cell_length_a 3.637
_cell_length_b 3.637
_cell_length_c 8.323
_cell_angle_alpha 90.00
_cell_angle_beta 90.00
_cell_angle_gamma 90.00
loop_
_atom_site_label
_atom_site_type_symbol
_atom_site_fract_x
_atom_site_fract_y
_atom_site_fract_z
_atom_site_occupancy
Al1 Al 0.000 0.000 0.000 1
Tc1 Tc 0.000 0.500 0.250 1
Rh1 Rh 0.000 0.000 0.500 1
# E = -28.2831 eV/atom
# Crystal system = tetragonal
# Formation energy from the elements = -372 meV per atom
# Calculated density = 9.8 Mg/m³



# Al2TeRh, PBEsol geometry, DFT SCAN
data_Al2TeRh
_chemical_formula_sum 'Al2 Te1 Rh1'
_space_group_name_H-M_alt 'P m m m'
_space_group_IT_number 47
_cell_length_a 3.870
_cell_length_b 4.191
_cell_length_c 4.275
_cell_angle_alpha 90.00
_cell_angle_beta 90.00
_cell_angle_gamma 90.00
loop_
_space_group_symop_operation_xyz
'x,y,z'
'-x,-y,-z'
'-x,-y,z'
'x,y,-z'
'x,-y,-z'
'-x,y,z'
'-x,y,-z'
'x,-y,z'
loop_
_atom_site_label
_atom_site_type_symbol
_atom_site_fract_x
_atom_site_fract_y
_atom_site_fract_z
_atom_site_occupancy
Al1 Al 0.000 0.000 0.000 1
Al2 Al 0.500 0.500 0.000 1
Te1 Te 0.000 0.500 0.500 1
Rh1 Rh 0.500 0.000 0.500 1
# E = -21.6277 eV/atom
# Crystal system = orthorhombic
# Calculated density = 6.8 Mg/m³



# Ti8Al15Rh7, PBEsol geometry, DFT SCAN
data_Ti8Al15Rh7
_chemical_formula_sum 'Ti16 Al30 Rh14'
_space_group_name_H-M_alt 'I m m 2'
_space_group_IT_number 44
_cell_length_a 8.547
_cell_length_b 8.573
_cell_length_c 12.098
_cell_angle_alpha 90.00
_cell_angle_beta 90.00
_cell_angle_gamma 90.00
loop_
_space_group_symop_operation_xyz
'x,y,z'
'-x,-y,z'
'-x,y,z'
'x,-y,z'
'x+1/2,y+1/2,z+1/2'
'-x+1/2,-y+1/2,z+1/2'
'-x+1/2,y+1/2,z+1/2'
'x+1/2,-y+1/2,z+1/2'
loop_
_atom_site_label
_atom_site_type_symbol
_atom_site_fract_x
_atom_site_fract_y
_atom_site_fract_z
_atom_site_occupancy
Ti1 Ti 0.000 0.000 0.000 1
Ti2 Ti 0.000 0.000 0.428 1
Ti3 Ti 0.215 0.214 0.206 1
Ti4 Ti 0.244 0.000 0.830 1
Al1 Al 0.000 0.000 0.213 1
Al2 Al 0.000 0.242 0.588 1
Al3 Al 0.000 0.243 0.831 1
Al4 Al 0.000 0.303 0.362 1
Al5 Al 0.000 0.310 0.055 1
Al6 Al 0.190 0.500 0.555 1
Al7 Al 0.195 0.500 0.863 1
Al8 Al 0.244 0.000 0.588 1
Rh1 Rh 0.000 0.000 0.711 1
Rh2 Rh 0.000 0.500 0.212 1
Rh3 Rh 0.000 0.500 0.710 1
Rh4 Rh 0.250 0.249 0.959 1
# E = -16.9496 eV/atom
# Crystal system = orthorhombic
# Formation energy from the elements = -919 meV per atom
# Calculated density = 5.6 Mg/m³



# TiAlZnRh2, PBEsol geometry, DFT SCAN
data_TiAlZnRh2
_chemical_formula_sum 'Ti1 Al1 Zn1 Rh2'
_space_group_name_H-M_alt 'P 4/m m m'
_space_group_IT_number 123
_space_group_name_Hall '-P 4 2'
_cell_length_a 4.417
_cell_length_b 4.417
_cell_length_c 4.811
_cell_angle_alpha 90.00
_cell_angle_beta 90.00
_cell_angle_gamma 90.00
loop_
_atom_site_label
_atom_site_type_symbol
_atom_site_fract_x
_atom_site_fract_y
_atom_site_fract_z
_atom_site_occupancy
Ti1 Ti 0.000 0.000 0.000 1
Al1 Al 0.000 0.000 0.500 1
Zn1 Zn 0.500 0.500 0.500 1
Rh1 Rh 0.000 0.500 0.000 1
# E = -20.2555 eV/atom
# Crystal system = tetragonal
# Formation energy from the elements = 712 meV per atom
# Calculated density = 6.1 Mg/m³



> Number 4 is which compound?

Al2TeRh